# Ba3Mg3Cd2

Ba3Mg3Cd2 after structural relaxation (PBE-GGA, the Alexandria database).

Unit cell a=9.432 b=18.393 c=6.767 alpha=90.00 beta=90.00 gamma=90.00
Positions (direct):
Ba 0.034 0.106 0.123
Ba 0.034 0.394 0.123
Ba 0.165 0.250 0.627
Ba 0.335 0.750 0.127
Ba 0.466 0.606 0.623
Ba 0.466 0.894 0.623
Ba 0.534 0.106 0.377
Ba 0.534 0.394 0.377
Ba 0.665 0.250 0.873
Ba 0.835 0.750 0.373
Ba 0.966 0.606 0.877
Ba 0.966 0.894 0.877
Mg 0.172 0.035 0.603
Mg 0.172 0.465 0.603
Mg 0.180 0.750 0.615
Mg 0.320 0.250 0.115
Mg 0.328 0.535 0.103
Mg 0.328 0.965 0.103
Mg 0.672 0.035 0.897
Mg 0.672 0.465 0.897
Mg 0.680 0.750 0.885
Mg 0.820 0.250 0.385
Mg 0.828 0.535 0.397
Mg 0.828 0.965 0.397
Cd 0.121 0.605 0.379
Cd 0.121 0.895 0.379
Cd 0.379 0.105 0.879
Cd 0.379 0.395 0.879
Cd 0.621 0.605 0.121
Cd 0.621 0.895 0.121
Cd 0.879 0.105 0.621
Cd 0.879 0.395 0.621

Output
magnetic moment: 0.000 μB per formula unit
uncorrected energy: -1.7047 eV/atom
formation energy from the elements: -0.1569 eV per atom
V: 1174.02 Å³ per cell